Below is an optimized crystal structure of GeBAu, with properties calculated at the PBE-GGA level.

```
data_GeBAu
_chemical_formula_sum 'Ge2 B2 Au2'
_symmetry_space_group_name_H-M 'P 1'
_symmetry_Int_Tables_number 1
_cell_length_a 3.0762
_cell_length_b 5.6191
_cell_length_c 6.5637
_cell_angle_alpha 113.60
_cell_angle_beta 91.57
_cell_angle_gamma 103.79
loop_
_symmetry_equiv_pos_as_xyz
'x,y,z'
loop_
_atom_site_label
_atom_site_type_symbol
_atom_site_fract_x
_atom_site_fract_y
_atom_site_fract_z
Ge1 Ge 0.0296 0.0391 0.2006
Ge2 Ge 0.9704 0.9609 0.7994
B1 B 0.2174 0.4325 0.4667
B2 B 0.7826 0.5675 0.5333
Au1 Au 0.3941 0.7165 0.2843
Au2 Au 0.6059 0.2835 0.7157
```

Properties
* crystal system: triclinic
* total DFT energy (no corrections): -4.58 eV/atom
* magnetization: 0.0 μB/f.u.
* mass density: 9313 kg/m3
* D(E_F): 0.9 states/eV/cell
* SG: P-1